(1)
OsRhPb: optimized geometry, PBE.

```
data_OsRhPb
_cell_length_a 5.033
_cell_length_b 5.033
_cell_length_c 5.033
_cell_angle_alpha 145.78
_cell_angle_beta 132.50
_cell_angle_gamma 59.83
_symmetry_space_group_name_H-M 'P 1'
_symmetry_Int_Tables_number 1
_symmetry_space_group_name_Hall 'P 1'
loop_
_atom_site_label
_atom_site_type_symbol
_atom_site_fract_x
_atom_site_fract_y
_atom_site_fract_z
_atom_site_occupancy
Os1 Os 0.986 0.986 0.000 1
Rh1 Rh 0.347 0.347 0.000 1
Pb1 Pb 0.667 0.667 0.000 1
```

Computed properties:
* theoretical density: 15.87 g/cm³
* formation energy: 0.757 eV/atom
* E_tot: -20.018 eV per cell
* calculated volume: 52 Å³ per cell

***

(2)
AlPF: optimized geometry, PBE.

```
data_AlPF
_cell_length_a 3.900
_cell_length_b 4.954
_cell_length_c 5.398
_cell_angle_alpha 94.89
_cell_angle_beta 110.82
_cell_angle_gamma 99.57
_symmetry_space_group_name_H-M 'P 1'
_symmetry_Int_Tables_number 1
_symmetry_space_group_name_Hall 'P 1'
loop_
_atom_site_label
_atom_site_type_symbol
_atom_site_fract_x
_atom_site_fract_y
_atom_site_fract_z
_atom_site_occupancy
P1 P 0.036 0.108 0.186 1
P2 P 0.003 0.365 0.868 1
Al1 Al 0.402 0.435 0.596 1
Al2 Al 0.415 0.812 0.086 1
F1 F 0.616 0.649 0.388 1
F2 F 0.370 0.795 0.720 1
```

Computed properties:
* theoretical density: 2.69 g/cm³
* E_tot: -31.630 eV per cell
* ΔE_f (raw): -1.60 eV/atom
* calculated volume: 95 Å³ per cell